1.
First-principles (PBE) data for a relaxed ZnGaF5 crystal, as listed in the Alexandria database.

## Properties
Symmetry: Immm
Formation energy from raw total energies: -2.44 eV/atom

a = 3.751 Å, b = 5.318 Å, c = 5.318 Å
α = 73.79°, β = 69.35°, γ = 69.35°
Fractional coordinates of all 7 atoms:
F  0.000  0.300  0.700
F  0.000  0.700  0.300
F  0.251  0.749  0.749
F  0.500  0.000  0.000
F  0.749  0.251  0.251
Zn  0.500  0.500  0.500
Ga  0.000  0.000  0.000


2.
First-principles (PBE) data for a relaxed Zn2Ga2F crystal, as listed in the Alexandria database.

## Properties
Symmetry: I4/mmm
Formation energy from raw total energies: -0.26 eV/atom
E above lowest polymorph: 92 meV/atom

a = 3.686 Å, b = 3.686 Å, c = 7.257 Å
α = 75.29°, β = 75.29°, γ = 90.00°
Fractional coordinates of all 5 atoms:
Ga  0.750  0.250  0.500
F  0.000  0.000  0.000
Ga  0.250  0.750  0.500
Zn  0.411  0.411  0.178
Zn  0.589  0.589  0.822


3.
First-principles (PBE) data for a relaxed ZnGaF2 crystal, as listed in the Alexandria database.

## Properties
Symmetry: R-3m
Formation energy from raw total energies: -1.50 eV/atom
E above lowest polymorph: 0 meV/atom

a = 7.480 Å, b = 7.480 Å, c = 7.480 Å
α = 23.31°, β = 23.31°, γ = 23.31°
Fractional coordinates of all 4 atoms:
Zn  0.500  0.500  0.500
F  0.115  0.115  0.115
Ga  0.000  0.000  0.000
F  0.885  0.885  0.885


Number 1: electronic total energy -30.73 eV per formula unit, N(E_F) 0.00 states/eV per cell, size of the total moment 0.000 μB per atom. Number 2: electronic total energy -11.76 eV per formula unit, N(E_F) 1.72 states/eV per cell, size of the total moment 0.000 μB per atom. Number 3: electronic total energy -14.05 eV per formula unit, N(E_F) 0.61 states/eV per cell, size of the total moment 0.000 μB per atom.